Record 1
This record from Alexandria describes a relaxed ZnHg3As crystal. The functional is PBE.

Properties
* crystal system: cubic
* total magnetization: 0.0 μB/f.u.

Unit cell a=5.4785 b=5.4785 c=5.4785 alpha=90.00 beta=90.00 gamma=90.00
Fractional coordinates of all 5 atoms:
As1 0.0000 0.0000 0.0000
Hg1 0.0000 0.5000 0.0000
Hg2 0.5000 0.0000 0.0000
Hg3 0.0000 0.0000 0.5000
Zn1 0.5000 0.5000 0.5000

Record 2
This record from Alexandria describes a relaxed Zn2HgAs crystal. The functional is PBE.

Properties
* crystal system: monoclinic
* total magnetization: 0.0 μB/f.u.

Unit cell a=8.0308 b=5.3391 c=2.9678 alpha=76.73 beta=86.31 gamma=137.24
Fractional coordinates of all 4 atoms:
Zn1 0.0000 0.0000 0.0000
Zn2 0.5000 0.0000 0.5000
Hg1 0.5000 0.5000 0.0000
As1 0.0000 0.5000 0.5000

Record 3
This record from Alexandria describes a relaxed Zn2HgAs crystal. The functional is PBE.

Properties
* crystal system: orthorhombic
* total magnetization: 0.0 μB/f.u.

Unit cell a=4.0137 b=5.0671 c=3.7872 alpha=90.00 beta=90.00 gamma=90.00
Fractional coordinates of all 4 atoms:
Zn1 0.0000 0.0000 0.0000
Zn2 0.5000 0.5000 0.0000
Hg1 0.0000 0.5000 0.5000
As1 0.5000 0.0000 0.5000

Record 4
This record from Alexandria describes a relaxed Zn2HgAs2 crystal. The functional is PBE.

Properties
* crystal system: tetragonal
* total magnetization: 0.0 μB/f.u.

Unit cell a=8.2176 b=8.2176 c=2.9242 alpha=90.00 beta=90.00 gamma=90.00
Fractional coordinates of all 10 atoms:
Zn1 0.8563 0.3563 0.5000
Zn2 0.6437 0.8563 0.5000
Zn3 0.1437 0.6437 0.5000
Zn4 0.3563 0.1437 0.5000
As1 0.1517 0.3483 0.0000
As2 0.8483 0.6517 0.0000
As3 0.3483 0.8483 0.0000
As4 0.6517 0.1517 0.0000
Hg1 0.0000 0.0000 0.0000
Hg2 0.5000 0.5000 0.0000

Record 5
This record from Alexandria describes a relaxed Zn2HgAs2 crystal. The functional is PBE.

Properties
* crystal system: tetragonal
* total magnetization: 0.0 μB/f.u.

Unit cell a=4.0900 b=4.0900 c=6.7718 alpha=72.42 beta=72.42 gamma=90.00
Fractional coordinates of all 5 atoms:
Hg1 0.0000 0.0000 0.0000
Zn1 0.3978 0.3978 0.2045
Zn2 0.6022 0.6022 0.7955
As1 0.7500 0.2500 0.5000
As2 0.2500 0.7500 0.5000

Record 6
This record from Alexandria describes a relaxed ZnHg2As crystal. The functional is PBE.

Properties
* crystal system: monoclinic
* total magnetization: 0.0 μB/f.u.

Unit cell a=4.2308 b=5.1514 c=5.1924 alpha=61.02 beta=90.00 gamma=90.00
Fractional coordinates of all 4 atoms:
Hg1 0.0000 0.9634 0.9673
Hg2 0.5000 0.2918 0.2882
As1 0.5000 0.6936 0.6921
Zn1 0.0000 0.5512 0.5524

Record 7
This record from Alexandria describes a relaxed ZnHgAs3 crystal. The functional is PBE.

Properties
* crystal system: cubic
* total magnetization: 0.0 μB/f.u.

Unit cell a=4.8995 b=4.8995 c=4.8995 alpha=90.00 beta=90.00 gamma=90.00
Fractional coordinates of all 5 atoms:
Zn1 0.0000 0.0000 0.0000
As1 0.0000 0.5000 0.0000
As2 0.0000 0.0000 0.5000
As3 0.5000 0.0000 0.0000
Hg1 0.5000 0.5000 0.5000

Record 8
This record from Alexandria describes a relaxed Zn2HgAs crystal. The functional is PBE.

Properties
* crystal system: monoclinic
* total magnetization: 0.0 μB/f.u.

Unit cell a=4.0130 b=4.0130 c=6.3388 alpha=74.36 beta=74.36 gamma=58.47
Fractional coordinates of all 4 atoms:
Zn1 0.5193 0.5193 0.4521
Zn2 0.9807 0.9807 0.0479
Hg1 0.7500 0.7500 0.7500
As1 0.2500 0.2500 0.2500

Record 9
This record from Alexandria describes a relaxed Zn2HgAs crystal. The functional is PBE.

Properties
* crystal system: monoclinic
* total magnetization: 0.0 μB/f.u.

Unit cell a=5.3739 b=5.3739 c=4.0044 alpha=90.10 beta=90.10 gamma=42.27
Fractional coordinates of all 4 atoms:
As1 0.4952 0.4952 0.3738
Zn1 0.2239 0.2239 0.3766
Zn2 0.0251 0.0251 0.8728
Hg1 0.7557 0.7557 0.8769

Record 10
This record from Alexandria describes a relaxed ZnHg2As crystal. The functional is PBE.

Properties
* crystal system: cubic
* total magnetization: 0.0 μB/f.u.

Unit cell a=4.9532 b=4.9532 c=4.9532 alpha=60.00 beta=60.00 gamma=60.00
Fractional coordinates of all 4 atoms:
Zn1 0.0000 0.0000 0.0000
As1 0.5000 0.5000 0.5000
Hg1 0.2500 0.2500 0.2500
Hg2 0.7500 0.7500 0.7500

Record 11
This record from Alexandria describes a relaxed ZnHg2As crystal. The functional is PBE.

Properties
* crystal system: tetragonal
* total magnetization: 0.0 μB/f.u.

Unit cell a=3.0090 b=3.0090 c=10.1088 alpha=90.00 beta=90.00 gamma=90.00
Fractional coordinates of all 4 atoms:
Hg1 0.0000 0.0000 0.9997
Hg2 0.5000 0.5000 0.2959
As1 0.5000 0.5000 0.6887
Zn1 0.0000 0.0000 0.5158

Record 12
This record from Alexandria describes a relaxed ZnHgAs3 crystal. The functional is PBE.

Properties
* crystal system: cubic
* total magnetization: 0.0 μB/f.u.

Unit cell a=5.2202 b=5.2202 c=5.2202 alpha=90.00 beta=90.00 gamma=90.00
Fractional coordinates of all 5 atoms:
As1 0.0000 0.5000 0.0000
As2 0.5000 0.0000 0.0000
As3 0.0000 0.0000 0.5000
Hg1 0.0000 0.0000 0.0000
Zn1 0.5000 0.5000 0.5000

Number 1: N(E_F) 1.9 states/eV/cell, calculated density 7.494 g/cm³, E_form 0.31 eV per atom. Number 2: N(E_F) 1.1 states/eV/cell, calculated density 8.574 g/cm³, E_form 0.16 eV per atom. Number 3: N(E_F) 1.5 states/eV/cell, calculated density 8.760 g/cm³, E_form 0.20 eV per atom. Number 4: N(E_F) 4.6 states/eV/cell, calculated density 8.094 g/cm³, E_form 0.18 eV per atom. Number 5: N(E_F) 1.9 states/eV/cell, calculated density 7.802 g/cm³, E_form 0.14 eV per atom. Number 6: N(E_F) 1.8 states/eV/cell, calculated density 9.083 g/cm³, E_form 0.10 eV per atom. Number 7: N(E_F) 5.1 states/eV/cell, calculated density 6.929 g/cm³, E_form 0.71 eV per atom. Number 8: N(E_F) 1.4 states/eV/cell, calculated density 8.153 g/cm³, E_form 0.04 eV per atom. Number 9: N(E_F) 1.0 states/eV/cell, calculated density 8.675 g/cm³, E_form 0.13 eV per atom. Number 10: N(E_F) 2.9 states/eV/cell, calculated density 10.464 g/cm³, E_form 0.29 eV per atom. Number 11: N(E_F) 0.6 states/eV/cell, calculated density 9.825 g/cm³, E_form 0.18 eV per atom. Number 12: N(E_F) 6.7 states/eV/cell, calculated density 5.729 g/cm³, E_form 1.16 eV per atom.